No. 1
LiLa2PbCl | PBE-GGA | optimized geometry

Summary:
SG: P4/mmm (123)
E_form (uncorrected), eV per formula unit: -4.082
N(E_F), states/eV/cell: 3.9

Unit cell a=5.5986 b=5.5986 c=4.5095 alpha=90.00 beta=90.00 gamma=90.00
Closest atoms and distances in Å follow each position.
Positions (direct):
Li 0.0000 0.0000 0.0000  2 Cl 2.25
La 0.0000 0.5000 0.5000  2 Cl 2.80
La 0.5000 0.0000 0.5000  2 Cl 2.80
Pb 0.5000 0.5000 0.0000  8 La 3.59, 4 Li 3.96
Cl 0.0000 0.0000 0.5000  2 Li 2.25


No. 2
Rb2VSnBi | PBE-GGA | optimized geometry

Summary:
Energy of formation, eV per atom: 0.69
SG: P4/mmm (123)
N(E_F), states/eV/cell: 5.3

Unit cell a=6.3043 b=6.3043 c=5.3378 alpha=90.00 beta=90.00 gamma=90.00
Closest atoms and distances in Å follow each position.
Positions (direct):
Rb 0.0000 0.5000 0.0000  2 V 3.15
Rb 0.5000 0.0000 0.0000  2 V 3.15
V 0.0000 0.0000 0.0000  2 Sn 2.67
Sn 0.0000 0.0000 0.5000  2 V 2.67
Bi 0.5000 0.5000 0.5000  8 Rb 4.13, 4 Sn 4.46


No. 3
AlSiSe2 | PBE-GGA | optimized geometry

Summary:
SG: Cmm2 (35)
ΔE to the lowest computed polymorph, meV/atom: 371
E_form (uncorrected), eV per formula unit: 0.008
N(E_F), states/eV/cell: 1.3

Unit cell a=3.4358 b=3.4358 c=9.2522 alpha=90.00 beta=90.00 gamma=118.77
Closest atoms and distances in Å follow each position.
Positions (direct):
Al 0.0000 0.0000 0.0000  2 Se 2.38
Si 0.5000 0.5000 0.7734  2 Se 2.40
Se 0.0000 0.0000 0.5956  2 Si 2.40
Se 0.5000 0.5000 0.1749  2 Al 2.38


No. 4
MgSbPb2 | PBE-GGA | optimized geometry

Summary:
SG: Fm-3m (225)
ΔE to the lowest computed polymorph, meV/atom: 107
E_form (uncorrected), eV per formula unit: 0.298
N(E_F), states/eV/cell: 2.0

Unit cell a=5.4618 b=5.4618 c=5.4618 alpha=60.00 beta=60.00 gamma=60.00
Closest atoms and distances in Å follow each position.
Positions (direct):
Mg 0.0000 0.0000 0.0000  8 Pb 3.34
Sb 0.5000 0.5000 0.5000  8 Pb 3.34
Pb 0.2500 0.2500 0.2500  4 Sb 3.34, 4 Mg 3.34
Pb 0.7500 0.7500 0.7500  4 Sb 3.34, 4 Mg 3.34


No. 5
Sr2MgBr | PBE-GGA | optimized geometry

Summary:
SG: I4/mmm (139)
ΔE to the lowest computed polymorph, meV/atom: 257
E_form (uncorrected), eV per formula unit: -1.860
N(E_F), states/eV/cell: 4.6

Unit cell a=6.1672 b=6.1672 c=6.1672 alpha=125.31 beta=125.31 gamma=81.03
Closest atoms and distances in Å follow each position.
Positions (direct):
Sr 0.2500 0.7500 0.5000  4 Br 3.68, 4 Mg 3.68, 4 Sr 4.01
Sr 0.7500 0.2500 0.5000  4 Br 3.68, 4 Mg 3.68, 4 Sr 4.01
Mg 0.0000 0.0000 0.0000  8 Sr 3.68, 4 Br 4.01
Br 0.5000 0.5000 0.0000  8 Sr 3.68, 4 Mg 4.01


No. 6
ZnAs2PRu | PBE-GGA | optimized geometry

Summary:
Energy of formation, eV per atom: 1.24
SG: P4/mmm (123)
N(E_F), states/eV/cell: 4.7

Unit cell a=4.7071 b=4.7071 c=4.4449 alpha=90.00 beta=90.00 gamma=90.00
Closest atoms and distances in Å follow each position.
Positions (direct):
Zn 0.0000 0.0000 0.0000  2 P 2.22, 4 As 2.35
As 0.0000 0.5000 0.0000  2 Zn 2.35
As 0.5000 0.0000 0.0000  2 Zn 2.35
P 0.0000 0.0000 0.5000  2 Zn 2.22
Ru 0.5000 0.5000 0.5000  8 As 3.24, 4 P 3.33


No. 7
La2Nd5Y2 | PBE-GGA | optimized geometry

Summary:
Energy of formation, eV per atom: 0.18
SG: Ima2 (46)
ΔE to the lowest computed polymorph, meV/atom: 164
N(E_F), states/eV/cell: 28.5

Unit cell a=10.3062 b=10.3062 c=10.3062 alpha=85.32 beta=107.84 gamma=140.83
Closest atoms and distances in Å follow each position.
Positions (direct):
La 0.0000 0.0000 0.0000  4 Nd 3.34-3.66
La 0.0000 0.5000 0.5000  4 Nd 3.34-3.66
La 0.9343 0.6876 0.7468  4 Nd 3.48-3.65, 2 Y 3.76, 2 La 3.81
La 0.9408 0.1876 0.2532  4 Nd 3.48-3.65, 2 Y 3.76, 2 La 3.81
Nd 0.0579 0.3668 0.7984  4 Nd 3.24-3.46, 1 La 3.34, 1 Y 3.49
Nd 0.0579 0.7594 0.1911  4 Nd 3.24-3.46, 1 La 3.34, 1 Y 3.49
Nd 0.3629 0.2747 0.3736  4 Nd 3.24-3.49, 2 Y 3.43-3.61, 1 La 3.48
Nd 0.3629 0.4893 0.5882  4 Nd 3.24-3.49, 2 Y 3.43-3.61, 1 La 3.48
Nd 0.3803 0.8650 0.0152  6 Nd 3.28-3.64, 2 La 3.48-3.65, 2 Y 3.61
Nd 0.5683 0.2594 0.2016  4 Nd 3.24-3.46, 1 La 3.34, 1 Y 3.49
Nd 0.5683 0.8668 0.8089  4 Nd 3.24-3.46, 1 La 3.34, 1 Y 3.49
Nd 0.8498 0.3650 0.9848  6 Nd 3.28-3.64, 2 La 3.48-3.65, 2 Y 3.61
Nd 0.9011 0.7747 0.4118  4 Nd 3.24-3.49, 2 Y 3.43-3.61, 1 La 3.48
Nd 0.9011 0.9893 0.6264  4 Nd 3.24-3.49, 2 Y 3.43-3.61, 1 La 3.48
Y 0.4637 0.0922 0.6215  4 Nd 3.43-3.61, 2 La 3.74-3.76, 2 Y 3.79
Y 0.4637 0.3422 0.8716  4 Nd 3.43-3.61, 2 La 3.74-3.76, 2 Y 3.79
Y 0.4706 0.5922 0.1284  4 Nd 3.43-3.61, 2 La 3.74-3.76, 2 Y 3.79
Y 0.4706 0.8422 0.3785  4 Nd 3.43-3.61, 2 La 3.74-3.76, 2 Y 3.79


No. 8
Ni2HgS2 | PBE-GGA | optimized geometry

Summary:
SG: I4/mmm (139)
ΔE to the lowest computed polymorph, meV/atom: 0
E_form (uncorrected), eV per formula unit: -1.101
N(E_F), states/eV/cell: 4.6

Unit cell a=8.1688 b=8.1688 c=8.1688 alpha=153.41 beta=153.41 gamma=37.96
Closest atoms and distances in Å follow each position.
Positions (direct):
Ni 0.2500 0.7500 0.5000  4 S 2.22
Ni 0.7500 0.2500 0.5000  4 S 2.22
Hg 0.0000 0.0000 0.0000  4 Hg 3.76, 8 S 3.78
S 0.3261 0.3261 0.0000  4 Ni 2.22
S 0.6739 0.6739 0.0000  4 Ni 2.22


No. 9
TbErP2 | PBE-GGA | optimized geometry

Summary:
Energy of formation, eV per atom: -1.45
SG: R3m (160)
ΔE to the lowest computed polymorph, meV/atom: 165
N(E_F), states/eV/cell: 0.3

Unit cell a=7.1785 b=7.1785 c=7.1785 alpha=32.00 beta=32.00 gamma=32.00
Closest atoms and distances in Å follow each position.
Positions (direct):
Tb 0.0000 0.0000 0.0000  6 P 2.85-2.91
Er 0.8286 0.8286 0.8286  6 P 2.79-2.85
P 0.2454 0.2454 0.2454  3 Er 2.85, 3 Tb 2.91
P 0.4166 0.4166 0.4166  3 Er 2.79, 3 Tb 2.85


No. 10
TlOs2Ru2 | PBE-GGA | optimized geometry

Summary:
Energy of formation, eV per atom: 0.60
SG: P4/mbm (127)
ΔE to the lowest computed polymorph, meV/atom: 0
N(E_F), states/eV/cell: 12.7

Unit cell a=7.6575 b=7.6575 c=2.7911 alpha=90.00 beta=90.00 gamma=90.00
Closest atoms and distances in Å follow each position.
Positions (direct):
Tl 0.0000 0.0000 0.0000  2 Tl 2.79, 4 Ru 3.03
Tl 0.5000 0.5000 0.0000  2 Tl 2.79, 4 Ru 3.03
Os 0.1649 0.3351 0.5000  6 Ru 2.64-2.67, 2 Os 2.79
Os 0.3351 0.8351 0.5000  6 Ru 2.64-2.67, 2 Os 2.79
Os 0.6649 0.1649 0.5000  6 Ru 2.64-2.67, 2 Os 2.79
Os 0.8351 0.6649 0.5000  6 Ru 2.64-2.67, 2 Os 2.79
Ru 0.1245 0.6245 0.0000  6 Os 2.64-2.67, 3 Ru 2.70-2.79
Ru 0.3755 0.1245 0.0000  6 Os 2.64-2.67, 3 Ru 2.70-2.79
Ru 0.6245 0.8755 0.0000  6 Os 2.64-2.67, 3 Ru 2.70-2.79
Ru 0.8755 0.3755 0.0000  6 Os 2.64-2.67, 3 Ru 2.70-2.79


No. 11
LuGaNi | PBE-GGA | optimized geometry

Summary:
Energy of formation, eV per atom: -0.67
SG: Pnma (62)
N(E_F), states/eV/cell: 8.0

Unit cell a=6.6897 b=4.2331 c=7.2938 alpha=90.00 beta=90.00 gamma=90.00
Closest atoms and distances in Å follow each position.
Positions (direct):
Lu 0.0170 0.2500 0.1948  5 Ni 2.79-3.01, 6 Ga 2.97-3.08
Lu 0.4830 0.7500 0.6948  5 Ni 2.79-3.01, 6 Ga 2.97-3.08
Lu 0.5170 0.2500 0.3052  5 Ni 2.79-3.01, 6 Ga 2.97-3.08
Lu 0.9830 0.7500 0.8052  5 Ni 2.79-3.01, 6 Ga 2.97-3.08
Ga 0.1745 0.2500 0.5751  4 Ni 2.48-2.61
Ga 0.3255 0.7500 0.0751  4 Ni 2.48-2.61
Ga 0.6745 0.2500 0.9249  4 Ni 2.48-2.61
Ga 0.8255 0.7500 0.4249  4 Ni 2.48-2.61
Ni 0.2154 0.7500 0.4013  4 Ga 2.48-2.61
Ni 0.2846 0.2500 0.9013  4 Ga 2.48-2.61
Ni 0.7154 0.7500 0.0987  4 Ga 2.48-2.61
Ni 0.7846 0.2500 0.5987  4 Ga 2.48-2.61


No. 12
AgBi2Ir | PBE-GGA | optimized geometry

Summary:
Energy of formation, eV per atom: 0.24
SG: R-3m (166)
N(E_F), states/eV/cell: 2.6

Unit cell a=9.1508 b=9.1508 c=9.1508 alpha=24.18 beta=24.18 gamma=24.18
Closest atoms and distances in Å follow each position.
Positions (direct):
Ag 0.0000 0.0000 0.0000  2 Bi 2.81
Bi 0.1054 0.1054 0.1054  3 Ir 2.75, 1 Ag 2.81
Bi 0.8946 0.8946 0.8946  3 Ir 2.75, 1 Ag 2.81
Ir 0.5000 0.5000 0.5000  6 Bi 2.75


Please write out number 3 again, unchanged.
AlSiSe2 | PBE-GGA | optimized geometry

Summary:
SG: Cmm2 (35)
ΔE to the lowest computed polymorph, meV/atom: 371
E_form (uncorrected), eV per formula unit: 0.008
N(E_F), states/eV/cell: 1.3

Unit cell a=3.4358 b=3.4358 c=9.2522 alpha=90.00 beta=90.00 gamma=118.77
Closest atoms and distances in Å follow each position.
Positions (direct):
Al 0.0000 0.0000 0.0000  2 Se 2.38
Si 0.5000 0.5000 0.7734  2 Se 2.40
Se 0.0000 0.0000 0.5956  2 Si 2.40
Se 0.5000 0.5000 0.1749  2 Al 2.38